No. 1
The following is a PBE calculation of an optimized crystal structure of K2BiI, from Alexandria.

Unit cell a=9.6844 b=9.6844 c=7.2681 alpha=90.00 beta=90.00 gamma=90.00
Space group I-42d (No. 122)
Asymmetric unit:
K1 0.2356 0.7500 0.1250 [8 per cell]
Bi1 0.0000 0.0000 0.5000 [4 per cell]
I1 0.0000 0.0000 0.0000 [4 per cell]

- Density: 4.0 g cm⁻³
- DOS(E_F): 11.9 states/eV/cell
- Polymorph energy (0 for the lowest one): 0.253 eV per atom
- E_form (uncorrected): -1.99 eV/f.u.

***

No. 2
The following is a PBE calculation of an optimized crystal structure of KBiI2, from Alexandria.

Unit cell a=6.5295 b=6.5295 c=19.7219 alpha=90.00 beta=90.00 gamma=90.00
Space group I-42d (No. 122)
Asymmetric unit:
K1 0.0000 0.0000 0.0000 [4 per cell]
Bi1 0.0000 0.0000 0.5000 [4 per cell]
I1 0.1943 0.2500 0.6250 [8 per cell]

- Density: 4.0 g cm⁻³
- DOS(E_F): 0.3 states/eV/cell
- Polymorph energy (0 for the lowest one): 0.000 eV per atom
- E_form (uncorrected): -1.92 eV/f.u.

***

No. 3
The following is a PBE calculation of an optimized crystal structure of KBi2I6, from Alexandria.

Unit cell a=15.4830 b=14.2512 c=12.3147 alpha=90.00 beta=123.39 gamma=90.00
Space group C2/c (No. 15)
Asymmetric unit:
K1 0.0000 0.0702 0.2500 [4 per cell]
Bi1 0.1309 0.4350 0.2117 [8 per cell]
I1 0.1186 0.4738 0.4622 [8 per cell]
I2 0.1237 0.2386 0.1529 [8 per cell]
I3 0.1387 0.0496 0.6191 [8 per cell]

- Density: 3.6 g cm⁻³
- DOS(E_F): 3.5 states/eV/cell
- E_form (uncorrected): -5.06 eV/f.u.

***

No. 4
The following is a PBE calculation of an optimized crystal structure of KBiI3, from Alexandria.

Unit cell a=5.4145 b=8.6505 c=10.7309 alpha=103.80 beta=90.40 gamma=93.94
Space group P-1 (No. 2)
Asymmetric unit:
K1 0.1929 0.2758 0.3304 [2 per cell]
Bi1 0.3006 0.6820 0.1638 [2 per cell]
I1 0.1048 0.1051 0.8306 [2 per cell]
I2 0.3025 0.7102 0.4543 [2 per cell]
I3 0.3063 0.5955 0.8587 [2 per cell]

- Density: 4.3 g cm⁻³
- DOS(E_F): 2.0 states/eV/cell
- Polymorph energy (0 for the lowest one): 0.000 eV per atom
- E_form (uncorrected): -3.52 eV/f.u.

***

No. 5
The following is a PBE calculation of an optimized crystal structure of KBiI5, from Alexandria.

Unit cell a=15.0390 b=9.1163 c=11.9564 alpha=90.00 beta=107.05 gamma=90.00
Space group C2/c (No. 15)
Asymmetric unit:
K1 0.0000 0.0138 0.2500 [4 per cell]
Bi1 0.0000 0.5000 0.0000 [4 per cell]
I1 0.0000 0.4009 0.2500 [4 per cell]
I2 0.0956 0.2026 0.5722 [8 per cell]
I3 0.1953 0.3667 0.0421 [8 per cell]

- Density: 3.7 g cm⁻³
- DOS(E_F): 11.2 states/eV/cell
- E_form (uncorrected): -3.94 eV/f.u.

***

No. 6
The following is a PBE calculation of an optimized crystal structure of KBiI3, from Alexandria.

Unit cell a=6.3031 b=6.3031 c=6.3031 alpha=90.00 beta=90.00 gamma=90.00
Space group Pm-3m (No. 221)
Asymmetric unit:
K1 0.0000 0.0000 0.0000 [1 per cell]
Bi1 0.5000 0.5000 0.5000 [1 per cell]
I1 0.0000 0.5000 0.5000 [3 per cell]

- Density: 4.2 g cm⁻³
- DOS(E_F): 2.0 states/eV/cell
- Polymorph energy (0 for the lowest one): 0.021 eV per atom
- E_form (uncorrected): -3.42 eV/f.u.

***

No. 7
The following is a PBE calculation of an optimized crystal structure of K2BiI, from Alexandria.

Unit cell a=3.9611 b=3.9611 c=9.8481 alpha=90.00 beta=90.00 gamma=90.00
Space group P4/mmm (No. 123)
Asymmetric unit:
K1 0.0000 0.0000 0.2252 [2 per cell]
Bi1 0.5000 0.5000 0.5000 [1 per cell]
I1 0.5000 0.5000 0.0000 [1 per cell]

- Density: 4.4 g cm⁻³
- DOS(E_F): 1.3 states/eV/cell
- Polymorph energy (0 for the lowest one): 0.000 eV per atom
- E_form (uncorrected): -3.00 eV/f.u.

***

No. 8
The following is a PBE calculation of an optimized crystal structure of KBiI2, from Alexandria.

Unit cell a=8.4286 b=8.4286 c=8.4286 alpha=90.00 beta=90.00 gamma=90.00
Space group Fm-3m (No. 225)
Asymmetric unit:
K1 0.0000 0.0000 0.0000 [4 per cell]
Bi1 0.0000 0.0000 0.5000 [4 per cell]
I1 0.2500 0.2500 0.2500 [8 per cell]

- Density: 5.6 g cm⁻³
- DOS(E_F): 21.0 states/eV/cell
- Polymorph energy (0 for the lowest one): 0.111 eV per atom
- E_form (uncorrected): -1.47 eV/f.u.

***

Q: Which of these has the highest DOS(E_F)?
A: number 8

***

Q: The lowest density belongs to which entry?
A: KBi2I6